Model w:
DFT (GGA-PBE) results for a relaxed La4As2N crystal.

a = 4.863 Å, b = 4.863 Å, c = 15.970 Å
α = 90.00°, β = 90.00°, γ = 90.00°
Space group I4/mmm (No. 139)
Asymmetric unit:
La  0.000  0.000  0.170 [4 per cell]
La  0.000  0.500  0.000 [4 per cell]
As  0.000  0.000  0.363 [4 per cell]
N  0.000  0.000  0.000 [2 per cell]



Model x:
DFT (GGA-PBE) results for a relaxed La4As2N crystal.

a = 15.187 Å, b = 4.054 Å, c = 7.196 Å
α = 90.00°, β = 117.81°, γ = 90.00°
Space group C2/m (No. 12)
Asymmetric unit:
La  0.113  0.000  0.321 [4 per cell]
La  0.115  0.500  0.755 [4 per cell]
As  0.232  0.500  0.229 [4 per cell]
N  0.000  0.000  0.500 [2 per cell]



Model y:
DFT (GGA-PBE) results for a relaxed La4As2N crystal.

a = 4.760 Å, b = 4.760 Å, c = 17.116 Å
α = 90.00°, β = 90.00°, γ = 90.00°
Space group I4/mmm (No. 139)
Asymmetric unit:
La  0.000  0.000  0.178 [4 per cell]
La  0.000  0.500  0.000 [4 per cell]
As  0.000  0.000  0.359 [4 per cell]
N  0.000  0.000  0.500 [2 per cell]



Pick model w: it beats the second-best structure by 3.7 kJ/mol of atoms.



Model w:
DFT (GGA-PBE) results for a relaxed LaNi2AsN crystal.

a = 4.962 Å, b = 4.962 Å, c = 4.021 Å
α = 90.00°, β = 90.00°, γ = 90.00°
Space group P4/mmm (No. 123)
Asymmetric unit:
La  0.000  0.000  0.000 [1 per cell]
Ni  0.000  0.500  0.000 [2 per cell]
As  0.500  0.500  0.500 [1 per cell]
N  0.000  0.000  0.500 [1 per cell]



Model x:
DFT (GGA-PBE) results for a relaxed LaNi2AsN crystal.

a = 3.707 Å, b = 11.407 Å, c = 6.986 Å
α = 90.00°, β = 90.00°, γ = 90.00°
Space group Cmcm (No. 63)
Asymmetric unit:
La  0.000  0.038  0.250 [4 per cell]
Ni  0.000  0.332  0.053 [8 per cell]
As  0.000  0.232  0.750 [4 per cell]
N  0.000  0.500  0.000 [4 per cell]



Pick model x: it beats the second-best structure by 192.9 kJ/mol of atoms.



Model w:
DFT (GGA-PBE) results for a relaxed LaAsSeN2 crystal.

a = 4.111 Å, b = 4.111 Å, c = 5.000 Å
α = 90.00°, β = 90.00°, γ = 90.00°
Space group P4/mmm (No. 123)
Asymmetric unit:
La  0.000  0.000  0.000 [1 per cell]
As  0.500  0.500  0.500 [1 per cell]
Se  0.500  0.500  0.000 [1 per cell]
N  0.000  0.500  0.500 [2 per cell]



Model x:
DFT (GGA-PBE) results for a relaxed LaAsSeN2 crystal.

a = 4.192 Å, b = 4.192 Å, c = 6.488 Å
α = 90.00°, β = 90.00°, γ = 90.00°
Space group P4/mmm (No. 123)
Asymmetric unit:
La  0.000  0.000  0.000 [1 per cell]
As  0.500  0.500  0.500 [1 per cell]
Se  0.000  0.000  0.500 [1 per cell]
N  0.000  0.500  0.000 [2 per cell]



Pick model w: it beats the second-best structure by 69.5 kJ/mol of atoms.



Model w:
DFT (GGA-PBE) results for a relaxed NaLaAs3 crystal.

a = 5.701 Å, b = 5.701 Å, c = 5.701 Å
α = 90.00°, β = 90.00°, γ = 90.00°
Space group Pm-3m (No. 221)
Asymmetric unit:
Na  0.000  0.000  0.000 [1 per cell]
La  0.500  0.500  0.500 [1 per cell]
As  0.000  0.500  0.500 [3 per cell]



Model x:
DFT (GGA-PBE) results for a relaxed NaLaAs3 crystal.

a = 4.998 Å, b = 4.998 Å, c = 4.998 Å
α = 90.00°, β = 90.00°, γ = 90.00°
Space group Pm-3m (No. 221)
Asymmetric unit:
Na  0.000  0.000  0.000 [1 per cell]
La  0.500  0.500  0.500 [1 per cell]
As  0.000  0.000  0.500 [3 per cell]



Pick model x: it beats the second-best structure by 15.1 kJ/mol of atoms.



Model w:
DFT (GGA-PBE) results for a relaxed NaLaAs2 crystal.

a = 5.071 Å, b = 5.071 Å, c = 17.743 Å
α = 90.00°, β = 90.00°, γ = 90.00°
Space group I-42d (No. 122)
Asymmetric unit:
Na  0.000  0.000  0.000 [4 per cell]
La  0.000  0.000  0.500 [4 per cell]
As  0.146  0.250  0.125 [8 per cell]



Model x:
DFT (GGA-PBE) results for a relaxed NaLaAs2 crystal.

a = 7.307 Å, b = 7.307 Å, c = 7.307 Å
α = 90.00°, β = 90.00°, γ = 90.00°
Space group Fm-3m (No. 225)
Asymmetric unit:
Na  0.000  0.000  0.000 [4 per cell]
La  0.000  0.000  0.500 [4 per cell]
As  0.250  0.250  0.250 [8 per cell]



Pick model x: it beats the second-best structure by 34.8 kJ/mol of atoms.



Model w:
DFT (GGA-PBE) results for a relaxed LaNbAs2 crystal.

a = 6.940 Å, b = 6.940 Å, c = 6.940 Å
α = 90.00°, β = 90.00°, γ = 90.00°
Space group Fm-3m (No. 225)
Asymmetric unit:
La  0.000  0.000  0.000 [4 per cell]
Nb  0.000  0.000  0.500 [4 per cell]
As  0.250  0.250  0.250 [8 per cell]



Model x:
DFT (GGA-PBE) results for a relaxed LaNbAs2 crystal.

a = 3.9861 Å, b = 3.9861 Å, c = 19.8983 Å
α = 90.00°, β = 90.00°, γ = 120.00°
Space group R-3m (No. 166, hexagonal axes)
Asymmetric unit:
La  0.0000  0.0000  0.0000 [3 per cell]
Nb  0.0000  0.0000  0.5000 [3 per cell]
As  0.0000  0.0000  0.2372 [6 per cell]



Pick model x: it beats the second-best structure by 34.2 kJ/mol of atoms.



Model w:
DFT (GGA-PBE) results for a relaxed La2NdAs crystal.

a = 4.0591 Å, b = 4.0591 Å, c = 29.3659 Å
α = 90.00°, β = 90.00°, γ = 120.00°
Space group R-3m (No. 166, hexagonal axes)
Asymmetric unit:
La  0.0000  0.0000  0.2296 [6 per cell]
Nd  0.0000  0.0000  0.0000 [3 per cell]
As  0.0000  0.0000  0.5000 [3 per cell]



Model x:
DFT (GGA-PBE) results for a relaxed La2NdAs crystal.

a = 4.0663 Å, b = 4.0663 Å, c = 29.0658 Å
α = 90.00°, β = 90.00°, γ = 120.00°
Space group R3m (No. 160, hexagonal axes)
Asymmetric unit:
La  0.0000  0.0000  0.0000 [3 per cell]
La  0.0000  0.0000  0.2065 [3 per cell]
Nd  0.0000  0.0000  0.4366 [3 per cell]
As  0.0000  0.0000  0.6033 [3 per cell]



Pick model x: it beats the second-best structure by 1.9 kJ/mol of atoms.



Model w:
DFT (GGA-PBE) results for a relaxed LaNdAs2 crystal.

a = 4.2734 Å, b = 4.2734 Å, c = 22.1134 Å
α = 90.00°, β = 90.00°, γ = 120.00°
Space group R3m (No. 160, hexagonal axes)
Asymmetric unit:
La  0.0000  0.0000  0.0000 [3 per cell]
Nd  0.0000  0.0000  0.8289 [3 per cell]
As  0.0000  0.0000  0.4144 [3 per cell]
As  0.0000  0.0000  0.5803 [3 per cell]



Model x:
DFT (GGA-PBE) results for a relaxed LaNdAs2 crystal.

a = 4.3261 Å, b = 4.3261 Å, c = 21.1741 Å
α = 90.00°, β = 90.00°, γ = 120.00°
Space group R-3m (No. 166, hexagonal axes)
Asymmetric unit:
La  0.0000  0.0000  0.0000 [3 per cell]
Nd  0.0000  0.0000  0.5000 [3 per cell]
As  0.0000  0.0000  0.2486 [6 per cell]



Pick model x: it beats the second-best structure by 14.8 kJ/mol of atoms.



Model w:
DFT (GGA-PBE) results for a relaxed LaNpAs2 crystal.

a = 4.2260 Å, b = 4.2260 Å, c = 20.8934 Å
α = 90.00°, β = 90.00°, γ = 120.00°
Space group R-3m (No. 166, hexagonal axes)
Asymmetric unit:
La  0.0000  0.0000  0.0000 [3 per cell]
Np  0.0000  0.0000  0.5000 [3 per cell]
As  0.0000  0.0000  0.2439 [6 per cell]



Model x:
DFT (GGA-PBE) results for a relaxed LaNpAs2 crystal.

a = 4.1696 Å, b = 4.1696 Å, c = 21.7536 Å
α = 90.00°, β = 90.00°, γ = 120.00°
Space group R3m (No. 160, hexagonal axes)
Asymmetric unit:
La  0.0000  0.0000  0.0000 [3 per cell]
Np  0.0000  0.0000  0.1712 [3 per cell]
As  0.0000  0.0000  0.5793 [3 per cell]
As  0.0000  0.0000  0.7594 [3 per cell]



Pick model w: it beats the second-best structure by 12.0 kJ/mol of atoms.



Model w:
DFT (GGA-PBE) results for a relaxed La3As2O crystal.

a = 13.048 Å, b = 6.088 Å, c = 8.296 Å
α = 90.00°, β = 108.49°, γ = 90.00°
Space group C2/c (No. 15)
Asymmetric unit:
La  0.000  0.052  0.250 [4 per cell]
La  0.151  0.499  0.576 [8 per cell]
As  0.174  0.001  0.087 [8 per cell]
O  0.000  0.437  0.250 [4 per cell]



Model x:
DFT (GGA-PBE) results for a relaxed La3As2O crystal.

a = 8.682 Å, b = 4.273 Å, c = 16.985 Å
α = 90.00°, β = 90.00°, γ = 90.00°
Space group Pnma (No. 62)
Asymmetric unit:
La  0.003  0.250  0.104 [4 per cell]
La  0.138  0.250  0.573 [4 per cell]
La  0.170  0.750  0.274 [4 per cell]
As  0.092  0.750  0.715 [4 per cell]
As  0.243  0.250  0.961 [4 per cell]
O  0.122  0.750  0.137 [4 per cell]



Pick model x: it beats the second-best structure by 8.8 kJ/mol of atoms.



Model w:
DFT (GGA-PBE) results for a relaxed LaAs3O crystal.

a = 4.575 Å, b = 4.575 Å, c = 4.575 Å
α = 90.00°, β = 90.00°, γ = 90.00°
Space group Pm-3m (No. 221)
Asymmetric unit:
La  0.000  0.000  0.000 [1 per cell]
As  0.000  0.500  0.500 [3 per cell]
O  0.500  0.500  0.500 [1 per cell]



Model x:
DFT (GGA-PBE) results for a relaxed LaAs3O crystal.

a = 5.727 Å, b = 5.727 Å, c = 5.727 Å
α = 90.00°, β = 90.00°, γ = 90.00°
Space group Pm-3m (No. 221)
Asymmetric unit:
La  0.000  0.000  0.000 [1 per cell]
As  0.000  0.000  0.500 [3 per cell]
O  0.500  0.500  0.500 [1 per cell]



Pick model w: it beats the second-best structure by 181.6 kJ/mol of atoms.



Model w:
DFT (GGA-PBE) results for a relaxed LaAsPO2 crystal.

a = 4.167 Å, b = 4.167 Å, c = 6.806 Å
α = 90.00°, β = 90.00°, γ = 90.00°
Space group P4/mmm (No. 123)
Asymmetric unit:
La  0.000  0.000  0.000 [1 per cell]
As  0.500  0.500  0.500 [1 per cell]
P  0.000  0.000  0.500 [1 per cell]
O  0.000  0.500  0.000 [2 per cell]



Model x:
DFT (GGA-PBE) results for a relaxed LaAsPO2 crystal.

a = 4.147 Å, b = 4.147 Å, c = 4.659 Å
α = 90.00°, β = 90.00°, γ = 90.00°
Space group P4/mmm (No. 123)
Asymmetric unit:
La  0.000  0.000  0.000 [1 per cell]
As  0.500  0.500  0.500 [1 per cell]
P  0.500  0.500  0.000 [1 per cell]
O  0.000  0.500  0.500 [2 per cell]



Pick model x: it beats the second-best structure by 55.6 kJ/mol of atoms.